The following is a PBE calculation of an optimized crystal structure of AcNd2Si, from Alexandria via LeMat-Bulk.

Cell lengths 4.8962, 4.9176, 4.9176 Å; angles 90.00, 90.00, 90.00 degrees
Sites, in units of the cell vectors:
Nd (0.0000, 0.0000, 0.5000)
Nd (0.0000, 0.5000, 0.0000)
Ac (0.5000, 0.0000, 0.0000)
Si (0.5000, 0.5000, 0.5000)

Results
- Energy above the lowest structure with this stoichiometry: 51 meV per atom
- Crystal system: tetragonal

=====

The following is a PBE calculation of an optimized crystal structure of CaCd2Re, from Alexandria via LeMat-Bulk.

Cell lengths 2.9274, 2.9274, 9.6521 Å; angles 90.00, 90.00, 96.52 degrees
Sites, in units of the cell vectors:
Ca (0.5000, 0.5000, 0.7345)
Re (0.0000, 0.0000, 0.4913)
Cd (0.5000, 0.5000, 0.2643)
Cd (0.0000, 0.0000, 0.0099)

Results
- Energy above the lowest structure with this stoichiometry: 21 meV per atom
- Crystal system: orthorhombic
- E_form: 0.431 eV/atom

=====

The following is a PBE calculation of an optimized crystal structure of Mn2CrGaH, from Alexandria via LeMat-Bulk.

Cell lengths 3.7706, 3.7706, 3.7248 Å; angles 90.00, 90.00, 90.00 degrees
Each line ends with the local moment (μB).
Sites, in units of the cell vectors:
Cr (0.0000, 0.0000, 0.5000)  -2.35
H (0.0000, 0.0000, 0.0000)  -0.01
Mn (0.5000, 0.0000, 0.0000)  2.20
Mn (0.0000, 0.5000, 0.0000)  2.20
Ga (0.5000, 0.5000, 0.5000)  -0.05

Results
- E_tot: -6.9345 eV/atom
- Crystal system: tetragonal

=====

The following is a PBE calculation of an optimized crystal structure of PuTl3Sb2Te6, from Alexandria via LeMat-Bulk.

Cell lengths 7.8323, 7.8323, 8.3728 Å; angles 98.96, 98.96, 119.87 degrees
Each line ends with the local moment (μB).
Sites, in units of the cell vectors:
Sb (0.6666, 0.3334, 0.0000)  0.01
Sb (0.3334, 0.6666, 0.0000)  0.01
Te (0.7335, 0.7335, 0.2135)  -0.05
Te (0.9278, 0.5906, 0.7844)  -0.04
Te (0.0722, 0.4094, 0.2156)  -0.04
Te (0.2665, 0.2665, 0.7865)  -0.05
Te (0.4094, 0.0722, 0.2156)  -0.04
Te (0.5906, 0.9278, 0.7844)  -0.04
Tl (0.1651, 0.8349, 0.5000)  -0.01
Tl (0.8349, 0.1651, 0.5000)  -0.01
Tl (0.5000, 0.5000, 0.5000)  -0.01
Pu (0.0000, 0.0000, 0.0000)  5.21

Results
- E_tot: -4.4363 eV/atom
- Crystal system: monoclinic

=====

The following is a PBE calculation of an optimized crystal structure of K4AgHg, from Alexandria via LeMat-Bulk.

Cell lengths 7.5509, 9.4902, 9.6588 Å; angles 114.35, 106.96, 101.65 degrees
Sites, in units of the cell vectors:
K (0.3504, 0.9437, 0.6467)
K (0.6496, 0.0563, 0.3533)
K (0.3529, 0.6368, 0.8710)
K (0.9819, 0.7658, 0.1290)
K (0.0181, 0.2342, 0.8710)
K (0.2037, 0.2970, 0.3533)
K (0.7963, 0.7030, 0.6467)
K (0.6471, 0.3632, 0.1290)
Ag (0.2514, 0.0014, 0.0028)
Ag (0.7486, 0.9986, 0.9972)
Hg (0.3873, 0.6373, 0.2746)
Hg (0.6127, 0.3627, 0.7254)

Results
- Energy above the lowest structure with this stoichiometry: 6 meV per atom
- Crystal system: monoclinic
- E_form: -0.059 eV/atom

=====

The following is a PBE calculation of an optimized crystal structure of Ac5La2Mg, from Alexandria via LeMat-Bulk.

Cell lengths 3.7784, 12.1448, 9.5630 Å; angles 129.42, 101.39, 90.00 degrees
Sites, in units of the cell vectors:
Ac (0.3696, 0.6086, 0.7392)
Ac (0.6304, 0.8694, 0.2608)
Ac (0.6304, 0.3914, 0.2608)
Ac (0.3696, 0.1306, 0.7392)
Ac (0.0000, 0.5000, 0.0000)
La (0.7354, 0.2354, 0.4707)
La (0.2646, 0.7646, 0.5293)
Mg (0.0000, 0.0000, 0.0000)

Results
- Crystal system: orthorhombic
- E_form: 0.083 eV/atom

=====

The following is a PBE calculation of an optimized crystal structure of PmSmMnAg, from Alexandria via LeMat-Bulk.

Cell lengths 5.2061, 5.2061, 5.2061 Å; angles 60.00, 60.00, 60.00 degrees
Each line ends with the local moment (μB).
Sites, in units of the cell vectors:
Mn (0.5000, 0.5000, 0.5000)  3.64
Pm (0.7500, 0.7500, 0.7500)  -0.20
Ag (0.0000, 0.0000, 0.0000)  -0.02
Sm (0.2500, 0.2500, 0.2500)  -0.21

Results
- Crystal system: cubic
- E_form: 0.034 eV/atom

=====

The following is a PBE calculation of an optimized crystal structure of CePmNdTl, from Alexandria via LeMat-Bulk.

Cell lengths 5.5265, 5.5265, 5.5265 Å; angles 60.00, 60.00, 60.00 degrees
Each line ends with the local moment (μB).
Sites, in units of the cell vectors:
Ce (0.5000, 0.5000, 0.5000)  0.32
Nd (0.7500, 0.7500, 0.7500)  0.00
Tl (0.0000, 0.0000, 0.0000)  -0.01
Pm (0.2500, 0.2500, 0.2500)  0.00

Results
- Crystal system: cubic
- E_form: -0.006 eV/atom

=====

The following is a PBE calculation of an optimized crystal structure of LiTcPO2, from Alexandria via LeMat-Bulk.

Cell lengths 3.5384, 3.5384, 4.6121 Å; angles 90.00, 90.00, 90.00 degrees
Each line ends with the local moment (μB).
Sites, in units of the cell vectors:
O (0.5000, 0.0000, 0.0000)  0.68
O (0.0000, 0.5000, 0.0000)  0.68
Li (0.0000, 0.0000, 0.0000)  -0.01
P (0.0000, 0.0000, 0.5000)  -0.10
Tc (0.5000, 0.5000, 0.5000)  1.79

Results
- Energy above the lowest structure with this stoichiometry: 1200 meV per atom
- Crystal system: tetragonal

=====

The following is a PBE calculation of an optimized crystal structure of PmNd2In4, from Alexandria via LeMat-Bulk.

Cell lengths 5.3658, 5.3658, 8.4217 Å; angles 108.58, 108.58, 90.00 degrees
Sites, in units of the cell vectors:
In (0.6132, 0.1132, 0.2265)
In (0.8868, 0.3868, 0.7735)
In (0.3868, 0.8868, 0.7735)
In (0.1132, 0.6132, 0.2265)
Nd (0.7459, 0.7459, 0.4917)
Nd (0.2541, 0.2541, 0.5083)
Pm (0.0000, 0.0000, 0.0000)

Results
- Crystal system: tetragonal
- E_form: -0.315 eV/atom

=====

The following is a PBE calculation of an optimized crystal structure of Ba2MnBr, from Alexandria via LeMat-Bulk.

Cell lengths 6.8241, 6.8241, 5.5176 Å; angles 90.00, 90.00, 35.22 degrees
Each line ends with the local moment (μB).
Sites, in units of the cell vectors:
Ba (0.0105, 0.0105, 0.1250)  -0.17
Ba (0.7442, 0.7442, 0.6250)  -0.19
Br (0.4817, 0.4817, 0.6251)  0.00
Mn (0.2636, 0.2636, 0.1249)  3.88

Results
- Energy above the lowest structure with this stoichiometry: 63 meV per atom
- Crystal system: orthorhombic

=====

The following is a PBE calculation of an optimized crystal structure of BeTc3Pt, from Alexandria via LeMat-Bulk.

Cell lengths 4.7369, 4.7369, 4.7369 Å; angles 90.00, 90.00, 90.00 degrees
Each line ends with the local moment (μB).
Sites, in units of the cell vectors:
Be (0.5000, 0.5000, 0.5000)  -0.05
Tc (0.0000, 0.5000, 0.0000)  0.63
Tc (0.5000, 0.0000, 0.0000)  0.55
Tc (0.0000, 0.0000, 0.5000)  0.66
Pt (0.0000, 0.0000, 0.0000)  -0.03

Results
- Energy above the lowest structure with this stoichiometry: 1797 meV per atom
- Crystal system: cubic
- E_form: 2.248 eV/atom

=====

The following is a PBE calculation of an optimized crystal structure of Rb2VIrOs, from Alexandria via LeMat-Bulk.

Cell lengths 6.4997, 4.6805, 6.4997 Å; angles 90.00, 90.00, 90.00 degrees
Each line ends with the local moment (μB).
Sites, in units of the cell vectors:
Os (0.0000, 0.5000, 0.0000)  1.22
Ir (0.0000, 0.0000, 0.0000)  0.52
Rb (0.5000, 0.0000, 0.0000)  0.01
Rb (0.0000, 0.0000, 0.5000)  0.02
V (0.5000, 0.5000, 0.5000)  3.22

Results
- Crystal system: tetragonal
- E_form: 1.854 eV/atom

=====

The following is a PBE calculation of an optimized crystal structure of TmZrTe4, from Alexandria via LeMat-Bulk.

Cell lengths 7.2707, 7.3156, 7.2526 Å; angles 90.00, 88.55, 90.00 degrees
Sites, in units of the cell vectors:
Te (0.3474, 0.8542, 0.1300)
Te (0.8808, 0.1297, 0.3598)
Te (0.8474, 0.6458, 0.1300)
Te (0.1526, 0.3542, 0.8700)
Te (0.6192, 0.6297, 0.6402)
Te (0.6526, 0.1458, 0.8700)
Te (0.1192, 0.8703, 0.6402)
Te (0.3808, 0.3703, 0.3598)
Zr (0.5000, 0.5000, 0.0000)
Zr (0.0000, 0.0000, 0.0000)
Tm (0.5000, 0.0000, 0.5000)
Tm (0.0000, 0.5000, 0.5000)

Results
- Energy above the lowest structure with this stoichiometry: 160 meV per atom
- Crystal system: monoclinic

=====

The following is a PBE calculation of an optimized crystal structure of BaLi4Mg4, from Alexandria via LeMat-Bulk.

Cell lengths 5.1453, 9.8430, 9.8430 Å; angles 90.00, 90.00, 90.00 degrees
Sites, in units of the cell vectors:
Li (0.4996, 0.8418, 0.2672)
Li (0.5004, 0.2672, 0.1582)
Li (0.4996, 0.1582, 0.7328)
Li (0.5004, 0.7328, 0.8418)
Li (0.9996, 0.7672, 0.6582)
Li (0.0004, 0.3418, 0.7672)
Li (0.0004, 0.6582, 0.2328)
Li (0.9996, 0.2328, 0.3418)
Ba (0.0000, 0.0000, 0.0000)
Ba (0.5000, 0.5000, 0.5000)
Mg (0.9994, 0.0938, 0.6143)
Mg (0.4994, 0.1143, 0.4062)
Mg (0.9994, 0.9062, 0.3857)
Mg (0.5006, 0.4062, 0.8857)
Mg (0.0006, 0.3857, 0.0938)
Mg (0.5006, 0.5938, 0.1143)
Mg (0.0006, 0.6143, 0.9062)
Mg (0.4994, 0.8857, 0.5938)

Results
- Crystal system: tetragonal
- E_form: 0.048 eV/atom

=====

The following is a PBE calculation of an optimized crystal structure of K2CdIn2Hg7, from Alexandria via LeMat-Bulk.

Cell lengths 5.0888, 5.0888, 14.4602 Å; angles 85.95, 85.95, 86.98 degrees
Sites, in units of the cell vectors:
Hg (0.5248, 0.0236, 0.8672)
Hg (0.5000, 0.5000, 0.0000)
Hg (0.9764, 0.4752, 0.1328)
Hg (0.4752, 0.9764, 0.1328)
Hg (0.6809, 0.6809, 0.5407)
Hg (0.0236, 0.5248, 0.8672)
Hg (0.3191, 0.3191, 0.4593)
In (0.4558, 0.4558, 0.2447)
In (0.5442, 0.5442, 0.7553)
Cd (0.0000, 0.0000, 0.0000)
K (0.0630, 0.0630, 0.6768)
K (0.9370, 0.9370, 0.3232)

Results
- Crystal system: monoclinic
- E_form: -0.093 eV/atom

=====

The following is a PBE calculation of an optimized crystal structure of UCoCuH6, from Alexandria via LeMat-Bulk.

Cell lengths 4.3633, 4.3618, 4.1897 Å; angles 89.90, 90.33, 60.00 degrees
Each line ends with the local moment (μB).
Sites, in units of the cell vectors:
H (0.4892, 0.0191, 0.7647)  0.00
H (0.0208, 0.4900, 0.7641)  0.00
H (0.4892, 0.4914, 0.7643)  0.00
H (0.4916, 0.4892, 0.2357)  0.00
H (0.0178, 0.4905, 0.2347)  0.00
H (0.4913, 0.0197, 0.2358)  0.00
Cu (0.6666, 0.6668, 0.5011)  0.01
U (0.0001, 0.9999, 0.0005)  2.33
Co (0.3331, 0.3335, 0.4990)  0.10

Results
- E_tot: -4.8493 eV/atom
- Crystal system: triclinic

=====

The following is a PBE calculation of an optimized crystal structure of AlAgSn, from Alexandria via LeMat-Bulk.

Cell lengths 4.0491, 5.3396, 6.6802 Å; angles 89.21, 107.40, 111.02 degrees
Sites, in units of the cell vectors:
Sn (0.6429, 0.8904, 0.7361)
Sn (0.0985, 0.4956, 0.0613)
Al (0.9874, 0.9593, 0.3555)
Al (0.7537, 0.4263, 0.4421)
Ag (0.3309, 0.3188, 0.7046)
Ag (0.4106, 0.0672, 0.0930)

Results
- Crystal system: triclinic
- E_form: 0.086 eV/atom

=====

The following is a PBE calculation of an optimized crystal structure of AlCrIr, from Alexandria via LeMat-Bulk.

Cell lengths 5.4571, 5.4573, 2.8079 Å; angles 75.09, 75.10, 29.82 degrees
Each line ends with the local moment (μB).
Sites, in units of the cell vectors:
Cr (0.3316, 0.3316, 0.6684)  0.17
Al (0.9987, 0.9987, 0.0013)  0.00
Ir (0.6696, 0.6696, 0.3304)  -0.02

Results
- Crystal system: tetragonal
- E_form: -0.393 eV/atom

=====

The following is a PBE calculation of an optimized crystal structure of ZrPd2I, from Alexandria via LeMat-Bulk.

Cell lengths 7.6567, 7.6567, 6.1256 Å; angles 51.32, 51.32, 90.00 degrees
Sites, in units of the cell vectors:
Pd (0.3750, 0.3769, 0.7500)
Pd (0.1269, 0.6250, 0.2500)
Pd (0.8750, 0.8731, 0.7500)
Pd (0.6231, 0.1250, 0.2500)
I (0.7500, 0.2500, 0.5000)
I (0.0000, 0.0000, 0.0000)
Zr (0.2500, 0.7500, 0.5000)
Zr (0.5000, 0.5000, 0.0000)

Results
- Energy above the lowest structure with this stoichiometry: 0 meV per atom
- Crystal system: tetragonal

=====

The following is a PBE calculation of an optimized crystal structure of SmMgTe2, from Alexandria via LeMat-Bulk.

Cell lengths 4.2148, 4.2148, 7.9323 Å; angles 74.59, 74.59, 60.00 degrees
Sites, in units of the cell vectors:
Sm (0.5000, 0.5000, 0.5000)
Mg (0.0000, 0.0000, 0.0000)
Te (0.7433, 0.7433, 0.7701)
Te (0.2567, 0.2567, 0.2299)

Results
- Energy above the lowest structure with this stoichiometry: 21 meV per atom
- Crystal system: trigonal

=====

The following is a PBE calculation of an optimized crystal structure of HfTi2H2, from Alexandria via LeMat-Bulk.

Cell lengths 5.5676, 5.5676, 5.6446 Å; angles 119.55, 119.55, 90.00 degrees
Each line ends with the local moment (μB).
Sites, in units of the cell vectors:
Hf (0.2500, 0.7500, 0.5000)  0.09
Hf (0.0000, 0.0000, 0.0000)  0.09
H (0.7647, 0.7647, 0.5293)  0.00
H (0.0147, 0.5147, 0.0293)  0.00
H (0.2353, 0.2353, 0.4707)  0.00
H (0.4853, 0.9853, 0.9707)  0.00
Ti (0.6250, 0.3750, 0.2500)  0.40
Ti (0.6250, 0.8750, 0.2500)  0.40
Ti (0.6250, 0.3750, 0.7500)  0.40
Ti (0.1250, 0.3750, 0.7500)  0.40

Results
- Energy above the lowest structure with this stoichiometry: 82 meV per atom
- Crystal system: tetragonal

=====

The following is a PBE calculation of an optimized crystal structure of FeSiNi2, from Alexandria via LeMat-Bulk.

Cell lengths 4.3464, 4.3464, 4.2310 Å; angles 76.74, 76.74, 34.86 degrees
Each line ends with the local moment (μB).
Sites, in units of the cell vectors:
Si (0.7500, 0.7500, 0.7500)  -0.05
Ni (0.0103, 0.0103, 0.9947)  0.29
Ni (0.4897, 0.4897, 0.5053)  0.29
Fe (0.2500, 0.2500, 0.2500)  2.12

Results
- E_tot: -6.6271 eV/atom
- Crystal system: monoclinic

=====

The following is a PBE calculation of an optimized crystal structure of CaCS, from Alexandria via LeMat-Bulk.

Cell lengths 8.0469, 5.5255, 5.6851 Å; angles 90.00, 93.26, 90.00 degrees
Sites, in units of the cell vectors:
C (0.7505, 0.0000, 0.2037)
C (0.8928, 0.0000, 0.1168)
C (0.8928, 0.5000, 0.6168)
C (0.7505, 0.5000, 0.7037)
Ca (0.4195, 0.0000, 0.1782)
Ca (0.4195, 0.5000, 0.6782)
Ca (0.7728, 0.5000, 0.1559)
Ca (0.7728, 0.0000, 0.6559)
S (0.0631, 0.0000, 0.9666)
S (0.4369, 0.0000, 0.6789)
S (0.4369, 0.5000, 0.1789)
S (0.0631, 0.5000, 0.4666)

Results
- Energy above the lowest structure with this stoichiometry: 18 meV per atom
- Crystal system: monoclinic

=====

The following is a PBE calculation of an optimized crystal structure of Hg6Br, from Alexandria via LeMat-Bulk.

Cell lengths 7.2440, 7.2440, 7.2440 Å; angles 109.47, 109.47, 109.47 degrees
Sites, in units of the cell vectors:
Hg (0.2500, 0.5000, 0.7500)
Hg (0.5000, 0.2500, 0.7500)
Hg (0.7500, 0.5000, 0.2500)
Hg (0.2500, 0.7500, 0.5000)
Hg (0.7500, 0.2500, 0.5000)
Hg (0.5000, 0.7500, 0.2500)
Br (0.0000, 0.0000, 0.0000)

Results
- Energy above the lowest structure with this stoichiometry: 95 meV per atom
- Crystal system: cubic

=====

The following is a PBE calculation of an optimized crystal structure of MgRe, from Alexandria via LeMat-Bulk.

Cell lengths 2.6841, 4.6027, 5.2795 Å; angles 90.00, 90.00, 90.00 degrees
Sites, in units of the cell vectors:
Re (0.0000, 0.0000, 0.0454)
Re (0.0000, 0.5000, 0.2879)
Mg (0.5000, 0.5000, 0.8059)
Mg (0.5000, 0.0000, 0.5274)

Results
- Energy above the lowest structure with this stoichiometry: 249 meV per atom
- Crystal system: orthorhombic
- E_form: 0.315 eV/atom